Material: DyZnBr
Method: DFT, PBE
State: optimized geometry

Output
Magnetic moment (μB per cell): 0.0
Energy relative to the elements, uncorrected (eV per atom): -1.00
DOS(E_F) (states/eV per cell): 14.41

```
data_DyZnBr
_cell_length_a 4.1080
_cell_length_b 4.1080
_cell_length_c 34.5207
_cell_angle_alpha 90.00
_cell_angle_beta 90.00
_cell_angle_gamma 120.00
_space_group_name_H-M_alt 'R -3 m'
_space_group_IT_number 166
_space_group_name_Hall '-R 3 2"'
loop_
_atom_site_label
_atom_site_type_symbol
_atom_site_fract_x
_atom_site_fract_y
_atom_site_fract_z
Dy1 Dy 0.0000 0.0000 0.0595
Zn1 Zn 0.0000 0.0000 0.3388
Br1 Br 0.0000 0.0000 0.2223
```